First-principles (PBE-GGA) data for a geometry-optimized La4Pr2Bi3H2 structure, as listed in Alexandria.

Cell and atoms, written as POSCAR:
```
La4Pr2Bi3H2
1.0
4.8841 0.0000 0.0000
0.0000 4.8841 0.0000
-2.4421 -2.4421 13.4012
La Pr Bi H
4 2 3 2
direct
0.4160 0.9160 0.8320 La
0.9160 0.4160 0.8320 La
0.0840 0.5840 0.1680 La
0.5840 0.0840 0.1680 La
0.2998 0.2998 0.5997 Pr
0.7002 0.7002 0.4003 Pr
0.0000 0.0000 0.0000 Bi
0.1761 0.1761 0.3521 Bi
0.8239 0.8239 0.6479 Bi
0.3929 0.3929 0.7858 H
0.6071 0.6071 0.2142 H
```

The calculation puts the magnetization at 0.00 μB/f.u. The density of states at the Fermi level comes out at 9.48 states/eV/f.u. The total energy is -54.815 eV for the cell shown. Its space-group type is I4/mmm, No. 139.

First-principles (PBE-GGA) data for a geometry-optimized AcEr2Pb structure, as listed in Alexandria.

Cell and atoms, written as POSCAR:
```
AcEr2Pb
1.0
4.9448 0.0000 0.0000
0.0000 5.0614 0.0000
0.0000 0.0000 5.0614
Pb Ac Er
1 1 2
direct
0.5000 0.0000 0.0000 Pb
0.5000 0.5000 0.5000 Ac
0.0000 0.0000 0.5000 Er
0.0000 0.5000 0.0000 Er
```

The calculation puts the magnetization at 0.00 μB/f.u. The density of states at the Fermi level comes out at 6.37 states/eV/f.u. For the polymorph energy (0 for the lowest one), the calculation gives 11.3 kJ/mol of atoms. Its space-group type is P4/mmm, No. 123.

First-principles (PBE-GGA) data for a geometry-optimized CrRu2Se structure, as listed in Alexandria.

Cell and atoms, written as POSCAR:
```
CrRu2Se
1.0
-4.2215 -0.6997 -0.3672
-1.4826 -2.6352 -3.0502
-1.6454 -3.8187 1.0752
Cr Ru Se
1 2 1
direct
0.5000 0.5000 0.5000 Cr
0.0000 0.0000 0.0000 Ru
0.2500 0.2500 0.2500 Ru
0.7500 0.7500 0.7500 Se
```

The calculation puts the magnetization at 0.00 μB/f.u. The density of states at the Fermi level comes out at 3.61 states/eV/f.u. The formation energy from raw total energies comes out at 43.72 kJ per mole of atoms. Its space-group type is F-43m, No. 216.

First-principles (PBE-GGA) data for a geometry-optimized KSrInHg structure, as listed in Alexandria.

Cell and atoms, written as POSCAR:
```
KSrInHg
1.0
5.8036 0.0000 0.0000
2.9018 5.0261 0.0000
2.9018 1.6754 4.7386
Sr K Hg In
1 1 1 1
direct
0.0000 0.0000 0.0000 Sr
0.5000 0.5000 0.5000 K
0.7500 0.7500 0.7500 Hg
0.2500 0.2500 0.2500 In
```

The calculation puts the magnetization at 0.00 μB/f.u. The density of states at the Fermi level comes out at 3.70 states/eV/f.u. The total energy is -6.650 eV for the cell shown. Its space-group type is F-43m, No. 216.

First-principles (PBE-GGA) data for a geometry-optimized K2MgGe3Pt4 structure, as listed in Alexandria.

Cell and atoms, written as POSCAR:
```
K2MgGe3Pt4
1.0
-4.2828 -0.1370 1.0339
-0.9385 -1.3996 -4.0731
1.0960 -10.0660 3.2064
K Mg Ge Pt
2 1 3 4
direct
0.5000 0.0000 0.2479 K
0.0000 0.5000 0.7521 K
0.5000 0.5000 0.5000 Mg
0.0000 0.0000 0.5000 Ge
0.5000 0.0000 0.8778 Ge
0.0000 0.5000 0.1222 Ge
0.5000 0.5000 0.0000 Pt
0.0000 0.0000 0.0000 Pt
0.5000 0.0000 0.6344 Pt
0.0000 0.5000 0.3656 Pt
```

The calculation puts the magnetization at 0.00 μB/f.u. The density of states at the Fermi level comes out at 5.10 states/eV/f.u. The total energy is -46.648 eV for the cell shown. Its space-group type is P-4m2, No. 115.

First-principles (PBE-GGA) data for a geometry-optimized Hf2Te3Se structure, as listed in Alexandria.

Cell and atoms, written as POSCAR:
```
Hf2Te3Se
1.0
-0.4494 -1.9078 6.8926
4.3297 -6.3337 -1.4708
3.4502 6.6936 2.0777
Hf Te Se
4 6 2
direct
0.0000 0.0000 0.0000 Hf
0.0000 0.5000 0.0000 Hf
0.0000 0.0000 0.5000 Hf
0.0000 0.5000 0.5000 Hf
0.7467 0.1663 0.8337 Te
0.7467 0.6674 0.8337 Te
0.7467 0.1663 0.3326 Te
0.2533 0.8337 0.6674 Te
0.2533 0.8337 0.1663 Te
0.2533 0.3326 0.1663 Te
0.2059 0.3333 0.6667 Se
0.7941 0.6667 0.3333 Se
```

The calculation puts the magnetization at 0.00 μB/f.u. The density of states at the Fermi level comes out at 0.91 states/eV/f.u. The formation energy from raw total energies comes out at -91.92 kJ per mole of atoms. Its space-group type is P-3m1, No. 164.

First-principles (PBE-GGA) data for a geometry-optimized Ba2MgN structure, as listed in Alexandria.

Cell and atoms, written as POSCAR:
```
Ba2MgN
1.0
5.0281 -2.2123 0.2943
0.9140 -5.0319 -2.0268
3.0030 -0.6220 -4.5671
Mg Ba N
1 2 1
direct
0.5000 0.5000 0.5000 Mg
0.2500 0.2500 0.2500 Ba
0.7500 0.7500 0.7500 Ba
0.0000 0.0000 0.0000 N
```

The calculation puts the magnetization at 0.00 μB/f.u. The density of states at the Fermi level comes out at 3.68 states/eV/f.u. The formation energy from raw total energies comes out at 52.34 kJ per mole of atoms. For the polymorph energy (0 for the lowest one), the calculation gives 65.4 kJ/mol of atoms. Its space-group type is Fm-3m, No. 225.

First-principles (PBE-GGA) data for a geometry-optimized Pr4GeCI2 structure, as listed in Alexandria.

Cell and atoms, written as POSCAR:
```
Pr4GeCI2
1.0
4.1367 0.0000 0.0000
0.0000 7.2714 0.1407
0.0000 -2.5599 7.8190
Pr Ge C I
4 1 1 2
direct
0.5000 0.2616 0.1878 Pr
0.5000 0.7384 0.8122 Pr
0.0000 0.2974 0.8207 Pr
0.0000 0.7026 0.1793 Pr
0.0000 0.0000 0.0000 Ge
0.5000 0.5000 0.0000 C
0.5000 0.0000 0.5000 I
0.0000 0.5000 0.5000 I
```

The calculation puts the magnetization at 0.00 μB/f.u. The density of states at the Fermi level comes out at 4.19 states/eV/f.u. The formation energy from raw total energies comes out at -79.16 kJ per mole of atoms. Its space-group type is P2/m, No. 10.

> What is the magnetization in the seventh record?

0.00 μB/f.u.

> Which value of magnetization does entry 6 give?

0.00 μB/f.u.

> Which value of magnetization does entry 2 give?

0.00 μB/f.u.